# NdCo2As2

NdCo2As2 after structural relaxation (PBE-GGA, Alexandria via LeMat-Bulk).

Calculated values
The density is 8153 kg/m³. The size of the total moment is 0.31 μB/atom. The calculation puts the formation energy at -0.728 eV/atom.

Cell lengths 4.0508, 4.0508, 10.2269 Å; angles 90.00, 90.00, 90.00 degrees
Last column: nearest neighbours and their distance in Å.
Space group I4/mmm (No. 139)
Inequivalent atoms, fractional coordinates:
Nd 0.0000 0.0000 0.0000 (multiplicity 2)  8 As 3.18, 8 Co 3.26
Co 0.0000 0.5000 0.2500 (multiplicity 4)  4 As 2.34
As 0.0000 0.0000 0.3650 (multiplicity 4)  4 Co 2.34